# 1
Here is a relaxed structure of PmNd4Ga2 from Alexandria. Energies are from PBE.

Calculated values
Formation energy (kJ per mole of atoms): -9.2

Geometry as POSCAR:
```
PmNd4Ga2
1.0
5.0971 0.0000 0.0000
2.5485 4.4142 0.0000
2.5485 1.4714 10.1922
Nd Ga Pm
4 2 1
direct
0.7023 0.7023 0.8932
0.2977 0.2977 0.1068
0.1029 0.1029 0.6914
0.8971 0.8971 0.3086
0.4005 0.4005 0.7984
0.5995 0.5995 0.2016
0.5000 0.5000 0.5000
```

# 2
Here is a relaxed structure of Pm3NdGa8 from Alexandria. Energies are from PBE.

Calculated values
Formation energy (kJ per mole of atoms): -55.4

Geometry as POSCAR:
```
Pm3NdGa8
1.0
-0.3799 -5.5625 0.5086
4.3253 -3.2455 -1.4503
4.6185 -2.3755 8.2839
Ga Pm Nd
8 3 1
direct
0.1874 0.1874 0.4377
0.9379 0.4377 0.1866
0.4377 0.9379 0.1866
0.9373 0.9373 0.6883
0.4370 0.9373 0.6883
0.4377 0.4377 0.1866
0.6876 0.6876 0.9373
0.9373 0.4370 0.6883
0.3754 0.3754 0.8737
0.4997 0.4997 0.5010
0.9996 0.9996 0.0011
0.8752 0.8752 0.3743
```